{
  "formula": "SrNbCrO6",
  "functional": "PBE with a Hubbard U",
  "state": "optimized geometry",
  "cell": [[4.9662, 0.0000, 0.0000], [0.0000, 4.9662, 0.0000], [0.0000, 0.0000, 9.7060]],
  "species": ["Sr", "Sr", "Nb", "Nb", "Cr", "Cr", "O", "O", "O", "O", "O", "O", "O", "O", "O", "O", "O", "O"],
  "fractional_positions": [[0.0000, 0.0000, 0.0000], [0.5000, 0.5000, 0.5000], [0.0000, 0.0000, 0.3503], [0.5000, 0.5000, 0.8503], [0.0000, 0.0000, 0.6674], [0.5000, 0.5000, 0.1674], [0.1677, 0.1677, 0.5153], [0.2345, 0.2345, 0.8046], [0.2474, 0.7526, 0.7094], [0.2526, 0.2526, 0.2094], [0.2655, 0.7345, 0.3046], [0.3323, 0.6677, 0.0153], [0.6677, 0.3323, 0.0153], [0.7345, 0.2655, 0.3046], [0.7474, 0.7474, 0.2094], [0.7526, 0.2474, 0.7094], [0.7655, 0.7655, 0.8046], [0.8323, 0.8323, 0.5153]],
  "m_tot_mub_per_atom": 0.11,
  "space_group": "No. 102",
  "final_energy_ev_per_cell": -135.357
}